VASP calculation (PBE) on crystalline Pm3Tc2C4 at its relaxed geometry.

Geometry as POSCAR:
```
Pm3Tc2C4
1.0
5.658 -1.710 0.000
5.658 1.710 0.000
-0.672 0.000 7.295
Pm Tc C
3 2 4
Cartesian
0.000 0.000 0.000 Pm
3.877 0.000 4.235 Pm
6.768 0.000 3.059 Pm
3.133 0.000 1.192 Tc
7.512 0.000 6.103 Tc
1.348 0.000 4.980 C
3.244 0.000 6.658 C
7.401 0.000 0.636 C
9.297 0.000 2.315 C
```

Results
E_form   1.035 kcal/mol of atoms
SG   No. 12

***

VASP calculation (PBE) on crystalline PmTcC at its relaxed geometry.

Geometry as POSCAR:
```
PmTcC
1.0
8.746 -1.945 0.000
8.746 1.945 0.000
-0.200 0.000 7.024
Pm Tc C
4 4 4
Cartesian
1.703 0.000 2.378 Pm
6.911 0.000 0.759 Pm
10.382 0.000 6.265 Pm
15.590 0.000 4.646 Pm
4.344 0.000 5.995 Tc
4.980 0.000 2.973 Tc
12.313 0.000 4.051 Tc
12.949 0.000 1.030 Tc
3.178 0.000 0.438 C
3.225 0.000 4.307 C
14.068 0.000 2.717 C
14.115 0.000 6.586 C
```

Results
E_form   -0.503 kcal/mol of atoms
E above lowest polymorph   43.9 meV per atom
SG   No. 12

***

VASP calculation (PBE) on crystalline Pm4Tc3C5 at its relaxed geometry.

Geometry as POSCAR:
```
Pm4Tc3C5
1.0
6.049 -1.953 0.000
6.049 1.953 0.000
-3.971 0.000 8.945
Pm Tc C
4 3 5
Cartesian
-0.323 0.000 3.698 Pm
-0.141 0.000 7.473 Pm
8.269 0.000 1.472 Pm
8.450 0.000 5.248 Pm
0.000 0.000 0.000 Tc
4.779 0.000 1.569 Tc
3.348 0.000 7.376 Tc
2.090 0.000 3.483 C
3.320 0.000 2.922 C
6.049 0.000 0.000 C
4.808 0.000 6.023 C
6.037 0.000 5.462 C
```

Results
E_form   -1.657 kcal/mol of atoms
SG   No. 12